# 1
This record from Alexandria describes a relaxed Ho3Ni6Ge2 crystal. The functional is PBE.

```
Ho3Ni6Ge2
1.0
-6.486 1.783 3.648
-1.420 -0.818 -7.475
2.782 -6.556 2.800
Ho Ni Ge
6 12 4
Direct
0.714 0.000 0.714
0.286 0.000 0.286
0.000 0.286 0.286
0.000 0.714 0.714
0.286 0.286 0.000
0.714 0.714 0.000
0.665 0.329 0.665
0.665 0.000 0.335
0.335 0.000 0.665
0.335 0.671 0.335
0.000 0.665 0.335
0.671 0.335 0.335
0.329 0.665 0.665
0.000 0.335 0.665
0.335 0.665 0.000
0.665 0.665 0.329
0.335 0.335 0.671
0.665 0.335 0.000
0.000 0.500 0.000
0.500 0.000 0.000
0.000 0.000 0.500
0.500 0.500 0.500
```

Results
* total energy: -5.836 eV per atom
* size of the total moment: 0.000 μB per atom
* formation enthalpy at 0 K: -595 meV per atom
* ρ: 9.6 Mg/m³
* density of states at the Fermi level: 13.12 states/eV/cell

# 2
This record from Alexandria describes a relaxed Li2LaGaTc crystal. The functional is PBE.

```
Li2LaGaTc
1.0
5.018 0.000 0.000
0.000 4.929 0.000
0.000 0.000 5.018
Li Tc Ga La
2 1 1 1
Direct
0.000 0.000 0.500
0.500 0.000 0.000
0.000 0.000 0.000
0.500 0.500 0.500
0.000 0.500 0.000
```

Results
* total energy: -3.943 eV per atom
* size of the total moment: 0.000 μB per atom
* formation enthalpy at 0 K: 486 meV per atom
* ρ: 4.3 Mg/m³
* density of states at the Fermi level: 2.62 states/eV/cell

# 3
This record from Alexandria describes a relaxed B3RuC crystal. The functional is PBE.

```
B3RuC
1.0
-0.423 0.636 3.349
2.916 -1.680 0.687
1.765 2.928 -0.333
Ru C B
1 1 3
Direct
0.500 0.500 0.500
0.000 0.000 0.000
0.000 0.500 0.000
0.000 0.000 0.500
0.500 0.000 0.000
```

Results
* total energy: -6.188 eV per atom
* size of the total moment: 0.000 μB per atom
* formation enthalpy at 0 K: 1518 meV per atom
* ρ: 6.0 Mg/m³
* density of states at the Fermi level: 2.39 states/eV/cell

# 4
This record from Alexandria describes a relaxed VNi3Rh3 crystal. The functional is PBE.

```
VNi3Rh3
1.0
7.217 0.000 0.000
0.000 7.217 0.000
0.000 0.000 7.217
V Ni Rh
4 12 12
Direct
0.152 0.652 0.848
0.848 0.152 0.652
0.348 0.348 0.348
0.652 0.848 0.152
0.854 0.354 0.146
0.967 0.967 0.967
0.838 0.662 0.338
0.146 0.854 0.354
0.162 0.162 0.162
0.338 0.838 0.662
0.033 0.467 0.533
0.354 0.146 0.854
0.662 0.338 0.838
0.646 0.646 0.646
0.533 0.033 0.467
0.467 0.533 0.033
0.820 0.638 0.947
0.862 0.053 0.320
0.947 0.820 0.638
0.138 0.553 0.180
0.180 0.138 0.553
0.320 0.862 0.053
0.053 0.320 0.862
0.362 0.447 0.680
0.553 0.180 0.138
0.638 0.947 0.820
0.680 0.362 0.447
0.447 0.680 0.362
```

Results
* total energy: -6.903 eV per atom
* energy above the lowest structure with this stoichiometry: 0.000 eV/f.u.
* size of the total moment: 0.267 μB per atom
* formation enthalpy at 0 K: 28 meV per atom
* ρ: 9.5 Mg/m³
* density of states at the Fermi level: 41.57 states/eV/cell